{
  "formula": "PuSi2Pb2Au7",
  "functional": "PBE-GGA",
  "state": "optimized geometry",
  "mass_density_g_cm3": 12.80,
  "formation_energy_uncorrected_ev_per_atom": -0.14,
  "sg": "C2/m",
  "lattice": [[4.839, -0.040, -0.109], [-0.035, 4.839, -0.109], [1.704, 1.701, 11.520]],
  "species": ["Pu", "Si", "Si", "Pb", "Pb", "Au", "Au", "Au", "Au", "Au", "Au", "Au"],
  "fractional_positions": [[0.000, 0.000, 0.000], [0.688, 0.688, 0.787], [0.312, 0.312, 0.213], [0.877, 0.877, 0.384], [0.123, 0.123, 0.616], [0.500, 0.500, 0.000], [0.418, 0.418, 0.401], [0.582, 0.582, 0.599], [0.852, 0.438, 0.180], [0.438, 0.852, 0.180], [0.562, 0.148, 0.820], [0.148, 0.562, 0.820]]
}